[1]
PBE Fe3Si5Ag, relaxed; volume = 13.86 Å³/atom; final energy = -55.2 eV for the cell shown; magnetic moment = 3.11 μB/cell
1.0
4.865 0.000 0.000
-2.433 4.213 0.000
0.000 0.000 6.087
Fe Si Ag
3 5 1
Direct
0.000 0.500 0.000
0.500 0.000 0.000
0.500 0.500 0.000
0.000 0.000 0.000
0.333 0.667 0.307
0.333 0.667 0.693
0.667 0.333 0.307
0.667 0.333 0.693
0.000 0.000 0.500

---

[2]
PBE SmFeSi2Ag, relaxed; volume = 17.41 Å³/atom; final energy = -28.8 eV for the cell shown; magnetic moment = 2.10 μB/cell
1.0
-2.058 2.058 5.137
2.058 -2.058 5.137
2.058 2.058 -5.137
Sm Fe Si Ag
1 1 2 1
Direct
0.000 0.000 0.000
0.250 0.750 0.500
0.383 0.383 0.000
0.617 0.617 0.000
0.750 0.250 0.500

---

[3]
PBE TaFeSiAg, relaxed; volume = 15.01 Å³/atom; energy above the lowest structure with this stoichiometry = 0.0241 eV per atom; final energy = -27.3 eV for the cell shown; magnetic moment = 1.99 μB/cell
1.0
0.000 3.108 3.108
3.108 0.000 3.108
3.108 3.108 0.000
Ta Fe Si Ag
1 1 1 1
Direct
0.000 0.000 0.000
0.500 0.500 0.500
0.250 0.250 0.250
0.750 0.750 0.750

---

[4]
PBE TaFeSiAg, relaxed; volume = 14.58 Å³/atom; energy above the lowest structure with this stoichiometry = 0.0000 eV per atom; final energy = -27.4 eV for the cell shown; magnetic moment = 0.00 μB/cell
1.0
0.000 3.078 3.078
3.078 0.000 3.078
3.078 3.078 0.000
Ta Fe Si Ag
1 1 1 1
Direct
0.000 0.000 0.000
0.750 0.750 0.750
0.500 0.500 0.500
0.250 0.250 0.250

---

[5]
PBE TbFeSi2Ag, relaxed; volume = 16.97 Å³/atom; final energy = -28.7 eV for the cell shown; magnetic moment = 2.01 μB/cell
1.0
-2.038 2.038 5.110
2.038 -2.038 5.110
2.038 2.038 -5.110
Tb Fe Si Ag
1 1 2 1
Direct
0.000 0.000 0.000
0.750 0.250 0.500
0.384 0.384 0.000
0.616 0.616 0.000
0.250 0.750 0.500

---

[6]
PBE FeSiTcAg, relaxed; volume = 13.96 Å³/atom; energy above the lowest structure with this stoichiometry = 0.0000 eV per atom; final energy = -25.9 eV for the cell shown; magnetic moment = 2.63 μB/cell
1.0
0.000 3.034 3.034
3.034 0.000 3.034
3.034 3.034 0.000
Fe Si Tc Ag
1 1 1 1
Direct
0.000 0.000 0.000
0.250 0.250 0.250
0.500 0.500 0.500
0.750 0.750 0.750

---

[7]
PBE FeSiAgW, relaxed; volume = 14.35 Å³/atom; energy above the lowest structure with this stoichiometry = 0.0000 eV per atom; final energy = -27.6 eV for the cell shown; magnetic moment = 2.04 μB/cell
1.0
0.000 3.061 3.061
3.061 0.000 3.061
3.061 3.061 0.000
Fe Si Ag W
1 1 1 1
Direct
0.000 0.000 0.000
0.750 0.750 0.750
0.250 0.250 0.250
0.500 0.500 0.500

---

[8]
PBE YFeSiAg, relaxed; volume = 17.35 Å³/atom; energy above the lowest structure with this stoichiometry = 0.0835 eV per atom; final energy = -22.8 eV for the cell shown; magnetic moment = 1.99 μB/cell
1.0
0.000 3.261 3.261
3.261 0.000 3.261
3.261 3.261 0.000
Y Fe Si Ag
1 1 1 1
Direct
0.000 0.000 0.000
0.750 0.750 0.750
0.500 0.500 0.500
0.250 0.250 0.250

---

Please write out number 1 again, unchanged.
PBE Fe3Si5Ag, relaxed; volume = 13.86 Å³/atom; final energy = -55.2 eV for the cell shown; magnetic moment = 3.11 μB/cell
1.0
4.865 0.000 0.000
-2.433 4.213 0.000
0.000 0.000 6.087
Fe Si Ag
3 5 1
Direct
0.000 0.500 0.000
0.500 0.000 0.000
0.500 0.500 0.000
0.000 0.000 0.000
0.333 0.667 0.307
0.333 0.667 0.693
0.667 0.333 0.307
0.667 0.333 0.693
0.000 0.000 0.500

---

- Which formula does entry 7 have?
  FeSiAgW

---

Please write out number 4 again, unchanged.
PBE TaFeSiAg, relaxed; volume = 14.58 Å³/atom; energy above the lowest structure with this stoichiometry = 0.0000 eV per atom; final energy = -27.4 eV for the cell shown; magnetic moment = 0.00 μB/cell
1.0
0.000 3.078 3.078
3.078 0.000 3.078
3.078 3.078 0.000
Ta Fe Si Ag
1 1 1 1
Direct
0.000 0.000 0.000
0.750 0.750 0.750
0.500 0.500 0.500
0.250 0.250 0.250